Compound: Ba2HgO
Source: Alexandria via LeMat-Bulk
Functional: GGA-PBEsol
Structure: relaxed

Structure (CIF):
```
data_Ba2HgO
_chemical_formula_sum 'Ba8 Hg4 O4'
_symmetry_space_group_name_H-M 'I -4 2 d'
_symmetry_Int_Tables_number 122
_symmetry_space_group_name_Hall 'I -4 2bw'
_cell_length_a 7.5931
_cell_length_b 7.5931
_cell_length_c 9.3007
_cell_angle_alpha 90.00
_cell_angle_beta 90.00
_cell_angle_gamma 90.00
loop_
_atom_site_label
_atom_site_fract_x
_atom_site_fract_y
_atom_site_fract_z
_atom_site_occupancy
Ba1 0.1552 0.7500 0.1250 1
Hg1 0.0000 0.0000 0.5000 1
O1 0.0000 0.0000 0.0000 1
```

Values from the calculation:
formation energy (no corrections)	-134.19	kJ/mol of atoms
calculated volume	536.2	Å³/cell
distance to the lowest polymorph of the same formula	0	meV per atom
DFT total energy	-3.9193	eV/atom
density of states at the Fermi level	1.58	states/eV/f.u.

=====

Compound: BaHgPO2
Source: Alexandria via LeMat-Bulk
Functional: GGA-PBEsol
Structure: relaxed

Structure (CIF):
```
data_BaHgPO2
_chemical_formula_sum 'Ba1 Hg1 P1 O2'
_symmetry_space_group_name_H-M 'P 4/m m m'
_symmetry_Int_Tables_number 123
_symmetry_space_group_name_Hall '-P 4 2'
_cell_length_a 4.4665
_cell_length_b 4.4665
_cell_length_c 4.7514
_cell_angle_alpha 90.00
_cell_angle_beta 90.00
_cell_angle_gamma 90.00
loop_
_atom_site_label
_atom_site_fract_x
_atom_site_fract_y
_atom_site_fract_z
_atom_site_occupancy
Ba1 0.0000 0.0000 0.0000 1
Hg1 0.5000 0.5000 0.5000 1
P1 0.5000 0.5000 0.0000 1
O1 0.0000 0.5000 0.5000 1
```

Values from the calculation:
formation energy (no corrections)	-32.98	kJ/mol of atoms
calculated volume	94.8	Å³/cell
DFT total energy	-4.1430	eV/atom
density of states at the Fermi level	3.56	states/eV/f.u.

=====

Compound: BaHgRuO5
Source: Alexandria via LeMat-Bulk
Functional: GGA-PBEsol
Structure: relaxed

Structure (CIF):
```
data_BaHgRuO5
_chemical_formula_sum 'Ba6 Hg6 Ru6 O30'
_symmetry_space_group_name_H-M 'P 63/m'
_symmetry_Int_Tables_number 176
_symmetry_space_group_name_Hall '-P 6c'
_cell_length_a 10.1592
_cell_length_b 10.1592
_cell_length_c 8.3956
_cell_angle_alpha 90.00
_cell_angle_beta 90.00
_cell_angle_gamma 120.00
loop_
_atom_site_label
_atom_site_fract_x
_atom_site_fract_y
_atom_site_fract_z
_atom_site_occupancy
Ba1 0.0000 0.0000 0.0000 1
Ba2 0.3333 0.6667 0.0135 1
Hg1 0.0136 0.6810 0.7500 1
Ru1 0.0160 0.6715 0.2500 1
O1 0.0877 0.2075 0.7500 1
O2 0.1113 0.7591 0.0707 1
O3 0.1211 0.5494 0.2500 1
O4 0.1612 0.5005 0.7500 1
```

Values from the calculation:
formation energy (no corrections)	-127.63	kJ/mol of atoms
calculated volume	750.4	Å³/cell
DFT total energy	-6.2147	eV/atom
density of states at the Fermi level	1.72	states/eV/f.u.

=====

Compound: Ba3SrHg4O8
Source: Alexandria via LeMat-Bulk
Functional: GGA-PBEsol
Structure: relaxed

Structure (CIF):
```
data_Ba3SrHg4O8
_chemical_formula_sum 'Ba9 Sr3 Hg12 O24'
_symmetry_space_group_name_H-M 'P 3 2 1'
_symmetry_Int_Tables_number 150
_cell_length_a 6.7236
_cell_length_b 6.7236
_cell_length_c 25.0736
_cell_angle_alpha 90.00
_cell_angle_beta 90.00
_cell_angle_gamma 120.00
loop_
_symmetry_equiv_pos_as_xyz
'x,y,z'
'-y,x-y,z'
'-x+y,-x,z'
'y,x,-z'
'x-y,-y,-z'
'-x,-x+y,-z'
loop_
_atom_site_label
_atom_site_fract_x
_atom_site_fract_y
_atom_site_fract_z
_atom_site_occupancy
Ba1 0.0000 0.0000 0.0000 1
Ba2 0.3333 0.6667 0.0161 1
Ba3 0.3333 0.6667 0.2338 1
Ba4 0.3333 0.6667 0.5164 1
Ba5 0.3333 0.6667 0.7323 1
Sr1 0.0000 0.0000 0.2507 1
Sr2 0.0000 0.0000 0.5000 1
Hg1 0.1655 0.8211 0.8734 1
Hg2 0.1702 0.3402 0.3753 1
O1 0.0356 0.6845 0.9444 1
O2 0.0419 0.7054 0.4471 1
O3 0.0433 0.3364 0.8023 1
O4 0.0426 0.3371 0.3033 1
```

Values from the calculation:
formation energy (no corrections)	-151.40	kJ/mol of atoms
calculated volume	981.7	Å³/cell
DFT total energy	-4.8535	eV/atom
density of states at the Fermi level	0.00	states/eV/f.u.

=====

Compound: BaHgOs3
Source: Alexandria via LeMat-Bulk
Functional: GGA-PBEsol
Structure: relaxed

Structure (CIF):
```
data_BaHgOs3
_chemical_formula_sum 'Ba1 Hg1 Os3'
_symmetry_space_group_name_H-M 'P m -3 m'
_symmetry_Int_Tables_number 221
_symmetry_space_group_name_Hall '-P 4 2 3'
_cell_length_a 4.9891
_cell_length_b 4.9891
_cell_length_c 4.9891
_cell_angle_alpha 90.00
_cell_angle_beta 90.00
_cell_angle_gamma 90.00
loop_
_atom_site_label
_atom_site_fract_x
_atom_site_fract_y
_atom_site_fract_z
_atom_site_occupancy
Ba1 0.0000 0.0000 0.0000 1
Hg1 0.5000 0.5000 0.5000 1
Os1 0.0000 0.5000 0.5000 1
```

Values from the calculation:
energy relative to the elements	2563	meV/atom
calculated volume	124.2	Å³/cell
DFT total energy	-5.3099	eV/atom
density of states at the Fermi level	10.05	states/eV/f.u.

=====

Compound: Ba3HgOs
Source: Alexandria via LeMat-Bulk
Functional: GGA-PBEsol
Structure: relaxed

Structure (CIF):
```
data_Ba3HgOs
_chemical_formula_sum 'Ba3 Hg1 Os1'
_symmetry_space_group_name_H-M 'P m -3 m'
_symmetry_Int_Tables_number 221
_symmetry_space_group_name_Hall '-P 4 2 3'
_cell_length_a 5.8624
_cell_length_b 5.8624
_cell_length_c 5.8624
_cell_angle_alpha 90.00
_cell_angle_beta 90.00
_cell_angle_gamma 90.00
loop_
_atom_site_label
_atom_site_fract_x
_atom_site_fract_y
_atom_site_fract_z
_atom_site_occupancy
Ba1 0.0000 0.0000 0.5000 1
Hg1 0.5000 0.5000 0.5000 1
Os1 0.0000 0.0000 0.0000 1
```

Values from the calculation:
energy relative to the elements	318	meV/atom
calculated volume	201.5	Å³/cell
DFT total energy	-3.5282	eV/atom
density of states at the Fermi level	4.73	states/eV/f.u.

=====

Compound: BaHgP2
Source: Alexandria via LeMat-Bulk
Functional: GGA-PBEsol
Structure: relaxed

Structure (CIF):
```
data_BaHgP2
_chemical_formula_sum 'Ba4 Hg4 P8'
_symmetry_space_group_name_H-M 'F -4 3 m'
_symmetry_Int_Tables_number 216
_symmetry_space_group_name_Hall 'F -4 2 3'
_cell_length_a 7.2688
_cell_length_b 7.2688
_cell_length_c 7.2688
_cell_angle_alpha 90.00
_cell_angle_beta 90.00
_cell_angle_gamma 90.00
loop_
_atom_site_label
_atom_site_fract_x
_atom_site_fract_y
_atom_site_fract_z
_atom_site_occupancy
Ba1 0.0000 0.0000 0.0000 1
Hg1 0.2500 0.2500 0.7500 1
P1 0.0000 0.0000 0.5000 1
P2 0.2500 0.2500 0.2500 1
```

Values from the calculation:
energy relative to the elements	77	meV/atom
calculated volume	384.0	Å³/cell
DFT total energy	-3.4979	eV/atom
density of states at the Fermi level	3.25	states/eV/f.u.

=====

Compound: BaHg3P
Source: Alexandria via LeMat-Bulk
Functional: GGA-PBEsol
Structure: relaxed

Structure (CIF):
```
data_BaHg3P
_chemical_formula_sum 'Ba1 Hg3 P1'
_symmetry_space_group_name_H-M 'P m -3 m'
_symmetry_Int_Tables_number 221
_symmetry_space_group_name_Hall '-P 4 2 3'
_cell_length_a 6.2021
_cell_length_b 6.2021
_cell_length_c 6.2021
_cell_angle_alpha 90.00
_cell_angle_beta 90.00
_cell_angle_gamma 90.00
loop_
_atom_site_label
_atom_site_fract_x
_atom_site_fract_y
_atom_site_fract_z
_atom_site_occupancy
Ba1 0.0000 0.0000 0.0000 1
Hg1 0.0000 0.0000 0.5000 1
P1 0.5000 0.5000 0.5000 1
```

Values from the calculation:
energy relative to the elements	937	meV/atom
calculated volume	238.6	Å³/cell
DFT total energy	-0.9908	eV/atom
density of states at the Fermi level	5.73	states/eV/f.u.